Record 1
Tm4Mg3Zr | GGA-PBE | optimized geometry

Summary:
M_tot (μB/cell): 0.00
Uncorrected energy (eV for the cell shown): -31.4
Energy of formation from the pure elements (eV per formula unit): -0.2

Unit cell a=3.444 b=3.444 c=17.956 alpha=90.00 beta=90.00 gamma=90.00
Sites, in units of the cell vectors:
Tm 0.000 0.000 0.123
Tm 0.000 0.000 0.377
Tm 0.000 0.000 0.623
Tm 0.000 0.000 0.877
Mg 0.500 0.500 0.000
Mg 0.500 0.500 0.247
Mg 0.500 0.500 0.753
Zr 0.500 0.500 0.500

***

Record 2
Ac2Tb4Nd | GGA-PBE | optimized geometry

Summary:
M_tot (μB/cell): 0.00
Uncorrected energy (eV for the cell shown): -59.8
Energy of formation from the pure elements (eV per formula unit): 1.6

Unit cell a=6.544 b=13.409 c=5.886 alpha=90.00 beta=90.00 gamma=90.00
Sites, in units of the cell vectors:
Ac 0.181 0.178 0.000
Ac 0.319 0.678 0.000
Ac 0.681 0.322 0.000
Ac 0.819 0.822 0.000
Tb 0.005 0.335 0.500
Tb 0.198 0.432 0.000
Tb 0.302 0.932 0.000
Tb 0.495 0.835 0.500
Tb 0.505 0.165 0.500
Tb 0.698 0.068 0.000
Tb 0.802 0.568 0.000
Tb 0.995 0.665 0.500
Nd 0.000 0.000 0.500
Nd 0.500 0.500 0.500

***

Record 3
RbAsO3 | GGA-PBE | optimized geometry

Summary:
M_tot (μB/cell): 0.00
Uncorrected energy (eV for the cell shown): -56.1
Energy relative to the elements, uncorrected (meV per atom): -1515

Unit cell a=5.127 b=6.055 c=7.226 alpha=65.93 beta=86.56 gamma=88.06
Sites, in units of the cell vectors:
Rb 0.246 0.106 0.195
Rb 0.754 0.894 0.805
As 0.248 0.412 0.576
As 0.752 0.588 0.424
O 0.039 0.664 0.553
O 0.242 0.154 0.788
O 0.463 0.434 0.364
O 0.537 0.566 0.636
O 0.758 0.846 0.212
O 0.961 0.336 0.447

***

Record 4
La2CdSb4 | GGA-PBE | optimized geometry

Summary:
M_tot (μB/cell): 0.00
Uncorrected energy (eV for the cell shown): -32.7
Energy relative to the elements, uncorrected (meV per atom): -778

Unit cell a=4.434 b=4.434 c=10.922 alpha=90.00 beta=90.00 gamma=90.00
Sites, in units of the cell vectors:
La 0.000 0.500 0.238
La 0.500 0.000 0.762
Cd 0.000 0.000 0.500
Sb 0.000 0.000 0.000
Sb 0.000 0.500 0.670
Sb 0.500 0.000 0.330
Sb 0.500 0.500 0.000